A plane-wave DFT calculation with PBEsol was carried out for an optimized crystal structure of LiLa3Cd.

Geometry as CIF:
```
data_LiLa3Cd
_chemical_formula_sum 'Li1 La3 Cd1'
_symmetry_space_group_name_H-M 'P 1'
_symmetry_Int_Tables_number 1
_cell_length_a 5.290
_cell_length_b 5.290
_cell_length_c 5.290
_cell_angle_alpha 90.00
_cell_angle_beta 90.00
_cell_angle_gamma 90.00
loop_
_symmetry_equiv_pos_as_xyz
'x,y,z'
loop_
_atom_site_label
_atom_site_type_symbol
_atom_site_fract_x
_atom_site_fract_y
_atom_site_fract_z
Li1 Li 0.000 0.000 0.000
La1 La 0.000 0.000 0.500
La2 La 0.000 0.500 0.000
La3 La 0.500 0.000 0.000
Cd1 Cd 0.500 0.500 0.500
```

Calculated values
- SG = Pm-3m, No. 221
- final energy (eV per cell) = -17.32
- M_tot (Bohr magnetons per cell) = 0.0
- ΔE to the lowest computed polymorph (eV/atom) = 0.000
- DOS(E_F) (states/eV per cell) = 8.512